First-principles (GGA-PBE) data for a relaxed structure of MoPIr2, as listed in the Alexandria database.

DFT total energy, eV/cell: -34.108
Total magnetic moment, Bohr magnetons per cell: 0.00
Energy relative to the elements, eV per atom: -0.0363
Calculated density, g/cm3: 14.6

```
4
Lattice="-1.5511 1.7759 1.5793 -2.9577 -0.4184 -2.4344 -1.7771 -4.0989 2.8637" Properties=species:S:1:pos:R:3 pbc="T T T"
Ir -0.4444 -1.0249 0.7160
Ir -1.3328 -3.0740 2.1476
P -3.1430 -1.3708 1.0043
Mo -2.2544 0.6787 -0.4276
```